(1)
{"formula": "NbNiP2Se", "functional": "PBE", "state": "relaxed", "cell": [[4.101, 0.000, 0.000], [0.000, 5.473, 0.000], [0.000, 0.000, 4.101]], "species": ["P", "P", "Se", "Nb", "Ni"], "fractional_positions": [[0.500, 0.000, 0.000], [0.000, 0.000, 0.500], [0.500, 0.500, 0.500], [0.000, 0.500, 0.000], [0.000, 0.000, 0.000]], "mass_density_g_cm3": 5.3, "space_group": "P4/mmm", "magmom_total_mub_per_atom": 0.293, "e_form_raw_ev_per_atom": 0.464}

---

(2)
{"formula": "TiNbNi2P", "functional": "PBE", "state": "relaxed", "cell": [[4.480, 0.000, 0.000], [0.000, 4.651, 0.000], [0.000, 0.000, 4.480]], "species": ["Ti", "Ni", "Ni", "Nb", "P"], "fractional_positions": [[0.500, 0.500, 0.500], [0.000, 0.000, 0.500], [0.500, 0.000, 0.000], [0.000, 0.000, 0.000], [0.000, 0.500, 0.000]], "mass_density_g_cm3": 5.1, "space_group": "P4/mmm", "e_form_mev_per_atom": 770.6, "magmom_total_mub_per_atom": 0.000}